No. 1
The following is a DFT calculation (PBE-GGA) of a geometry-optimized LiSmSn2 structure.

* ΔE_f: -0.49 eV per atom
* distance to the lowest polymorph of the same formula: 88.3 meV/atom
* total moment: 0.00 μB per cell
* density of states at the Fermi level: 2.05 states/eV/cell
* space-group type: P4/mmm (123)
* total DFT energy (no corrections): -4.152 eV per atom

Cell lengths 3.6020, 3.6020, 7.3481 Å; angles 90.00, 90.00, 90.00 degrees
Closest atoms and distances in Å follow each position.
Positions (direct):
1 Li 0.0000 0.0000 0.0000  8 Sn 2.98
2 Sm 0.0000 0.0000 0.5000  8 Sn 3.32, 4 Sm 3.60, 2 Li 3.67
3 Sn 0.5000 0.5000 0.2095  4 Li 2.98, 1 Sn 3.08, 4 Sm 3.32
4 Sn 0.5000 0.5000 0.7905  4 Li 2.98, 1 Sn 3.08, 4 Sm 3.32

No. 2
The following is a DFT calculation (PBE-GGA) of a geometry-optimized Li2SmSn structure.

* ΔE_f: -0.33 eV per atom
* total moment: 0.00 μB per cell
* density of states at the Fermi level: 3.19 states/eV/cell
* space-group type: P4/mmm (123)
* total DFT energy (no corrections): -3.469 eV per atom

Cell lengths 4.4614, 4.4614, 4.9004 Å; angles 90.00, 90.00, 90.00 degrees
Closest atoms and distances in Å follow each position.
Positions (direct):
1 Li 0.0000 0.5000 0.0000  4 Li 3.15, 4 Sn 3.31, 4 Sm 3.31
2 Li 0.5000 0.0000 0.0000  4 Li 3.15, 4 Sn 3.31, 4 Sm 3.31
3 Sm 0.0000 0.0000 0.5000  4 Sn 3.15, 8 Li 3.31
4 Sn 0.5000 0.5000 0.5000  4 Sm 3.15, 8 Li 3.31

No. 3
The following is a DFT calculation (PBE-GGA) of a geometry-optimized LiSm4Sn4 structure.

* ΔE_f: -0.58 eV per atom
* total moment: 0.00 μB per cell
* density of states at the Fermi level: 11.37 states/eV/cell
* space-group type: P4_2/n (86)
* total DFT energy (no corrections): -4.665 eV per atom

Cell lengths 8.8566, 8.8566, 6.4373 Å; angles 90.00, 90.00, 90.00 degrees
Closest atoms and distances in Å follow each position.
Positions (direct):
1 Li 0.2500 0.2500 0.2500  4 Sn 2.56
2 Li 0.7500 0.7500 0.7500  4 Sn 2.56
3 Sm 0.0183 0.6803 0.1013  5 Sn 3.10-3.46, 1 Li 3.34, 1 Sm 3.47
4 Sm 0.1803 0.9817 0.6013  5 Sn 3.10-3.46, 1 Li 3.34, 1 Sm 3.47
5 Sm 0.3197 0.5183 0.6013  5 Sn 3.10-3.46, 1 Li 3.34, 1 Sm 3.47
6 Sm 0.4817 0.8197 0.1013  5 Sn 3.10-3.46, 1 Li 3.34, 1 Sm 3.47
7 Sm 0.5183 0.1803 0.8987  5 Sn 3.10-3.46, 1 Li 3.34, 1 Sm 3.47
8 Sm 0.6803 0.4817 0.3987  5 Sn 3.10-3.46, 1 Li 3.34, 1 Sm 3.47
9 Sm 0.8197 0.0183 0.3987  5 Sn 3.10-3.46, 1 Li 3.34, 1 Sm 3.47
10 Sm 0.9817 0.3197 0.8987  5 Sn 3.10-3.46, 1 Li 3.34, 1 Sm 3.47
11 Sn 0.0010 0.3417 0.4077  1 Li 2.56
12 Sn 0.1583 0.0010 0.0923  1 Li 2.56
13 Sn 0.3417 0.4990 0.0923  1 Li 2.56
14 Sn 0.4990 0.1583 0.4077  1 Li 2.56
15 Sn 0.5010 0.8417 0.5923  1 Li 2.56
16 Sn 0.6583 0.5010 0.9077  1 Li 2.56
17 Sn 0.8417 0.9990 0.9077  1 Li 2.56
18 Sn 0.9990 0.6583 0.5923  1 Li 2.56

No. 4
The following is a DFT calculation (PBE-GGA) of a geometry-optimized LiSmSn2 structure.

* ΔE_f: -0.53 eV per atom
* distance to the lowest polymorph of the same formula: 53.5 meV/atom
* total moment: 0.00 μB per cell
* density of states at the Fermi level: 2.13 states/eV/cell
* space-group type: Cmcm (63)
* total DFT energy (no corrections): -4.187 eV per atom

Cell lengths 9.8833, 9.8833, 4.5202 Å; angles 90.00, 90.00, 154.20 degrees
Closest atoms and distances in Å follow each position.
Positions (direct):
1 Li 0.1731 0.8269 0.7500  5 Sn 2.49-2.69
2 Li 0.8269 0.1731 0.2500  5 Sn 2.49-2.69
3 Sm 0.3949 0.6051 0.7500  10 Sn 3.37-3.62, 4 Li 3.42
4 Sm 0.6051 0.3949 0.2500  10 Sn 3.37-3.62, 4 Li 3.42
5 Sn 0.0439 0.9561 0.7500  1 Li 2.49
6 Sn 0.2487 0.7513 0.2500  4 Li 2.67-2.69
7 Sn 0.7513 0.2487 0.7500  4 Li 2.67-2.69
8 Sn 0.9561 0.0439 0.2500  1 Li 2.49

No. 5
The following is a DFT calculation (PBE-GGA) of a geometry-optimized SrLiSmSn structure.

* ΔE_f: -0.37 eV per atom
* total moment: 0.00 μB per cell
* density of states at the Fermi level: 2.34 states/eV/cell
* space-group type: F-43m (216)
* total DFT energy (no corrections): -3.453 eV per atom

Cell lengths 5.5048, 5.5048, 5.5048 Å; angles 60.00, 60.00, 60.00 degrees
Closest atoms and distances in Å follow each position.
Positions (direct):
1 Sr 0.0000 0.0000 0.0000  4 Sn 3.37, 4 Li 3.37
2 Li 0.7500 0.7500 0.7500  4 Sr 3.37, 4 Sm 3.37
3 Sm 0.5000 0.5000 0.5000  4 Sn 3.37, 4 Li 3.37
4 Sn 0.2500 0.2500 0.2500  4 Sm 3.37, 4 Sr 3.37

No. 6
The following is a DFT calculation (PBE-GGA) of a geometry-optimized SrLi2Sm2Sn2 structure.

* ΔE_f: -0.49 eV per atom
* total moment: 0.00 μB per cell
* density of states at the Fermi level: 3.17 states/eV/cell
* space-group type: R-3m (166)
* total DFT energy (no corrections): -3.765 eV per atom

Cell lengths 9.9754, 9.9754, 9.9754 Å; angles 28.51, 28.51, 28.51 degrees
Closest atoms and distances in Å follow each position.
Positions (direct):
1 Sr 0.0000 0.0000 0.0000  6 Sn 3.64, 6 Li 3.67, 2 Sm 3.75
2 Li 0.4143 0.4143 0.4143  3 Sn 2.84, 3 Sm 3.18
3 Li 0.5857 0.5857 0.5857  3 Sn 2.84, 3 Sm 3.18
4 Sm 0.1308 0.1308 0.1308  3 Li 3.18, 4 Sn 3.19-3.53, 3 Sm 3.50
5 Sm 0.8692 0.8692 0.8692  3 Li 3.18, 4 Sn 3.19-3.53, 3 Sm 3.50
6 Sn 0.2538 0.2538 0.2538  3 Li 2.84
7 Sn 0.7462 0.7462 0.7462  3 Li 2.84

No. 7
The following is a DFT calculation (PBE-GGA) of a geometry-optimized Li2SmSn3Te6 structure.

* uncorrected formation energy: -663 meV per atom
* total moment: 0.00 μB per cell
* density of states at the Fermi level: 4.69 states/eV/cell
* space-group type: C2/m (12)
* total DFT energy (no corrections): -3.946 eV per atom

Cell lengths 7.5889, 7.5889, 7.7963 Å; angles 99.33, 99.33, 120.07 degrees
Closest atoms and distances in Å follow each position.
Positions (direct):
1 Li 0.1724 0.8276 0.0000  6 Te 3.03-3.14
2 Li 0.8276 0.1724 0.0000  6 Te 3.03-3.14
3 Sm 0.5000 0.5000 0.0000  6 Te 3.11-3.12
4 Sn 0.0000 0.0000 0.5000  6 Te 3.13-3.18
5 Sn 0.3386 0.6614 0.5000  6 Te 3.13-3.20
6 Sn 0.6614 0.3386 0.5000  6 Te 3.13-3.20
7 Te 0.0828 0.4190 0.7588  2 Li 3.03-3.08, 1 Sm 3.11, 3 Sn 3.18-3.20
8 Te 0.2435 0.2435 0.2429  1 Sm 3.12, 3 Sn 3.13, 2 Li 3.14
9 Te 0.4190 0.0828 0.7588  2 Li 3.03-3.08, 1 Sm 3.11, 3 Sn 3.18-3.20
10 Te 0.5810 0.9172 0.2412  2 Li 3.03-3.08, 1 Sm 3.11, 3 Sn 3.18-3.20
11 Te 0.7565 0.7565 0.7571  1 Sm 3.12, 3 Sn 3.13, 2 Li 3.14
12 Te 0.9172 0.5810 0.2412  2 Li 3.03-3.08, 1 Sm 3.11, 3 Sn 3.18-3.20

No. 8
The following is a DFT calculation (PBE-GGA) of a geometry-optimized LiSmSn2Te4 structure.

* uncorrected formation energy: -743 meV per atom
* total moment: 0.00 μB per cell
* density of states at the Fermi level: 0.01 states/eV/cell
* space-group type: P2/m (10)
* total DFT energy (no corrections): -4.144 eV per atom

Cell lengths 7.6666, 4.4678, 7.8440 Å; angles 90.00, 108.93, 90.00 degrees
Closest atoms and distances in Å follow each position.
Positions (direct):
1 Li 0.0000 0.0000 0.0000  6 Te 3.10-3.12
2 Sm 0.5000 0.5000 0.0000  6 Te 3.12-3.15
3 Sn 0.0000 0.5000 0.5000  6 Te 3.19-3.20
4 Sn 0.5000 0.0000 0.5000  6 Te 3.21-3.22
5 Te 0.2449 0.5000 0.2394  1 Sm 3.12, 2 Li 3.12, 3 Sn 3.19-3.22
6 Te 0.2489 0.0000 0.7578  1 Li 3.10, 2 Sm 3.15, 3 Sn 3.20-3.21
7 Te 0.7511 0.0000 0.2422  1 Li 3.10, 2 Sm 3.15, 3 Sn 3.20-3.21
8 Te 0.7551 0.5000 0.7606  1 Sm 3.12, 2 Li 3.12, 3 Sn 3.19-3.22

Repeat the seventh record exactly.
The following is a DFT calculation (PBE-GGA) of a geometry-optimized Li2SmSn3Te6 structure.

* uncorrected formation energy: -663 meV per atom
* total moment: 0.00 μB per cell
* density of states at the Fermi level: 4.69 states/eV/cell
* space-group type: C2/m (12)
* total DFT energy (no corrections): -3.946 eV per atom

Cell lengths 7.5889, 7.5889, 7.7963 Å; angles 99.33, 99.33, 120.07 degrees
Closest atoms and distances in Å follow each position.
Positions (direct):
1 Li 0.1724 0.8276 0.0000  6 Te 3.03-3.14
2 Li 0.8276 0.1724 0.0000  6 Te 3.03-3.14
3 Sm 0.5000 0.5000 0.0000  6 Te 3.11-3.12
4 Sn 0.0000 0.0000 0.5000  6 Te 3.13-3.18
5 Sn 0.3386 0.6614 0.5000  6 Te 3.13-3.20
6 Sn 0.6614 0.3386 0.5000  6 Te 3.13-3.20
7 Te 0.0828 0.4190 0.7588  2 Li 3.03-3.08, 1 Sm 3.11, 3 Sn 3.18-3.20
8 Te 0.2435 0.2435 0.2429  1 Sm 3.12, 3 Sn 3.13, 2 Li 3.14
9 Te 0.4190 0.0828 0.7588  2 Li 3.03-3.08, 1 Sm 3.11, 3 Sn 3.18-3.20
10 Te 0.5810 0.9172 0.2412  2 Li 3.03-3.08, 1 Sm 3.11, 3 Sn 3.18-3.20
11 Te 0.7565 0.7565 0.7571  1 Sm 3.12, 3 Sn 3.13, 2 Li 3.14
12 Te 0.9172 0.5810 0.2412  2 Li 3.03-3.08, 1 Sm 3.11, 3 Sn 3.18-3.20

- What is the total moment in the eighth record?
  0.00 μB per cell